1.
# SnHgClF6

A relaxed SnHgClF6 crystal (PBE, the Alexandria database).

a b c (Å): 5.974 7.020 5.129
angles (deg): 96.76 93.80 55.66
Each line ends with the local moment (μB).
Atoms (fractional coordinates):
Hg: 0.621 0.666 0.540  0.01
F: 0.376 0.499 0.257  0.00
Cl: 0.196 0.921 0.769  0.54
F: 0.280 0.206 0.824  0.20
F: 0.028 0.647 0.698  0.08
F: 0.624 0.340 0.716  0.01
Sn: 0.330 0.335 0.516  0.00
F: 0.554 0.012 0.348  0.00
F: 0.990 0.374 0.332  0.01

The energy relative to the elements, uncorrected is -1705 meV per atom.

2.
# NaLiTlGa

A relaxed NaLiTlGa crystal (PBE, the Alexandria database).

a b c (Å): 4.968 4.968 4.968
angles (deg): 60.00 60.00 60.00
Atoms (fractional coordinates):
Ga: 0.250 0.250 0.250
Na: 0.500 0.500 0.500
Li: 0.750 0.750 0.750
Tl: 0.000 0.000 0.000

The value obtained for the formation enthalpy at 0 K is -0.436 eV/f.u.

3.
# CdPb2WCl

A relaxed CdPb2WCl crystal (PBE, the Alexandria database).

a b c (Å): 5.466 5.109 5.466
angles (deg): 90.00 90.00 90.00
Each line ends with the local moment (μB).
Atoms (fractional coordinates):
W: 0.500 0.500 0.500  2.85
Pb: 0.500 0.000 0.000  -0.10
Pb: 0.000 0.000 0.500  -0.08
Cl: 0.000 0.000 0.000  -0.01
Cd: 0.000 0.500 0.000  -0.02

The energy relative to the elements, uncorrected is 1310 meV per atom.

Number 1: ρ 4.41 g cm⁻³. Number 2: ρ 5.82 g cm⁻³. Number 3: ρ 8.12 g cm⁻³.